[1]
Compound: Tb7In3
Source: the Alexandria database
Functional: PBE-GGA
Structure: optimized geometry

Its space group is No. 12. Its total energy is -4.374 eV/atom. Its formation energy is -311 meV/atom.

POSCAR file:
```
Tb7In3
1.0
5.2203 0.0000 0.0000
0.0000 6.7917 -0.1515
-2.6102 -2.4436 8.2347
Tb In
7 3
direct
0.3735 0.6005 0.7471
0.6265 0.3995 0.2529
0.4094 0.1363 0.8189
0.0000 0.5000 0.0000
0.1984 0.1749 0.3968
0.8016 0.8251 0.6032
0.5906 0.8637 0.1811
0.8062 0.3079 0.6124
0.1938 0.6921 0.3876
0.0000 0.0000 0.0000
```

=====

[2]
Compound: TbIn3
Source: the Alexandria database
Functional: PBE-GGA
Structure: optimized geometry

Its space group is No. 221. Its total energy is -3.640 eV/atom. Its formation energy is -429 meV/atom.

POSCAR file:
```
TbIn3
1.0
4.6454 0.0000 0.0000
0.0000 4.6461 0.0000
0.0000 0.0000 4.6443
In Tb
3 1
direct
0.0000 0.0000 0.9165
0.5000 0.5000 0.9168
0.5000 0.0000 0.4168
0.0000 0.5000 0.4166
```

=====

[3]
Compound: Tb13In2
Source: the Alexandria database
Functional: PBE-GGA
Structure: optimized geometry

Its space group is No. 2. Its total energy is -4.474 eV/atom. Its formation energy is -96 meV/atom.

POSCAR file:
```
Tb13In2
1.0
6.6640 -0.1145 0.8686
-1.0127 8.5236 0.2888
0.5590 -3.7859 8.0666
In Tb
2 13
direct
0.9406 0.7698 0.6195
0.0594 0.2302 0.3805
0.3051 0.3467 0.9755
0.6343 0.4127 0.6080
0.4898 0.8552 0.7954
0.8013 0.2266 0.8442
0.5102 0.1448 0.2046
0.8786 0.4802 0.2624
0.3657 0.5873 0.3920
0.7419 0.9367 0.4161
0.1987 0.7734 0.1558
0.0000 0.0000 0.0000
0.6949 0.6533 0.0245
0.2581 0.0633 0.5839
0.1214 0.5198 0.7376
```

=====

[4]
Compound: Tb5In3
Source: the Alexandria database
Functional: PBE-GGA
Structure: optimized geometry

Its space group is No. 65. Its total energy is -4.256 eV/atom. Its formation energy is -336 meV/atom. Its energy above the most stable polymorph in this dataset is 0.028 eV per atom.

POSCAR file:
```
Tb5In3
1.0
5.0149 0.0000 0.0000
0.0000 6.7146 -0.2814
0.0000 -0.5224 6.7001
In Tb
3 5
direct
0.0000 0.5000 0.5000
0.5000 0.7746 0.2254
0.5000 0.2254 0.7746
0.0000 0.0000 0.0000
0.5000 0.2741 0.2741
0.5000 0.7259 0.7259
0.0000 0.0000 0.5000
0.0000 0.5000 0.0000
```

=====

[5]
Compound: Tb5In6
Source: the Alexandria database
Functional: PBE-GGA
Structure: optimized geometry

Its space group is No. 71. Its total energy is -3.987 eV/atom. Its formation energy is -388 meV/atom.

POSCAR file:
```
Tb5In6
1.0
5.0410 0.0054 -1.5591
-0.8528 6.8088 -2.7306
0.0542 -0.3521 9.0915
Tb In
5 6
direct
0.6798 0.1798 0.3596
0.6584 0.6584 0.3168
0.3416 0.3416 0.6832
0.0000 0.5000 0.0000
0.3202 0.8202 0.6404
0.5005 0.7901 0.0000
0.1545 0.9276 0.3090
0.4995 0.2099 0.0000
0.1545 0.3815 0.3090
0.8455 0.0724 0.6910
0.8455 0.6185 0.6910
```

=====

[6]
Compound: Tb5In4
Source: the Alexandria database
Functional: PBE-GGA
Structure: optimized geometry

Its space group is No. 193. Its total energy is -4.226 eV/atom. Its formation energy is -437 meV/atom.

POSCAR file:
```
Tb5In4
1.0
6.6527 0.0000 0.0000
0.0000 9.3538 0.0000
0.0000 -4.6769 8.1006
Tb In
10 8
direct
0.7500 0.0000 0.2908
0.2500 0.0000 0.7092
0.2500 0.2908 0.2908
0.0000 0.3333 0.6667
0.0000 0.6667 0.3333
0.5000 0.3333 0.6667
0.7500 0.7092 0.7092
0.5000 0.6667 0.3333
0.2500 0.7092 0.0000
0.7500 0.2908 0.0000
0.5000 0.0000 0.0000
0.2500 0.0000 0.3708
0.7500 0.0000 0.6292
0.2500 0.3708 0.0000
0.2500 0.6292 0.6292
0.7500 0.3708 0.3708
0.7500 0.6292 0.0000
0.0000 0.0000 0.0000
```

=====

[7]
Compound: Tb7In
Source: the Alexandria database
Functional: PBE-GGA
Structure: optimized geometry

Its space group is No. 225. Its total energy is -4.468 eV/atom. Its formation energy is -74 meV/atom.

POSCAR file:
```
Tb7In
1.0
-4.4002 4.3125 3.3756
0.3590 0.6181 6.9888
2.4177 5.9332 2.8820
Tb In
7 1
direct
0.5000 0.5000 0.5000
0.5000 0.0000 0.5000
0.5000 0.0000 0.0000
0.0000 0.0000 0.5000
0.0000 0.5000 0.5000
0.0000 0.5000 0.0000
0.5000 0.5000 0.0000
0.0000 0.0000 0.0000
```

=====

[8]
Compound: Tb5In
Source: the Alexandria database
Functional: PBE-GGA
Structure: optimized geometry

Its space group is No. 65. Its total energy is -4.474 eV/atom. Its formation energy is -159 meV/atom. Its energy above the most stable polymorph in this dataset is 0.000 eV per atom.

POSCAR file:
```
Tb5In
1.0
-3.9681 2.7980 0.4916
-2.2377 -2.5588 -3.4989
-1.5912 -3.4802 6.9635
Tb In
5 1
direct
0.5000 0.8327 0.6654
0.5000 0.5000 0.0000
0.0000 0.3381 0.6762
0.0000 0.6619 0.3238
0.5000 0.1673 0.3346
0.0000 0.0000 0.0000
```

=====

[9]
Compound: Tb2In3
Source: the Alexandria database
Functional: PBE-GGA
Structure: optimized geometry

Its space group is No. 60. Its total energy is -3.892 eV/atom. Its formation energy is -397 meV/atom. Its energy above the most stable polymorph in this dataset is 0.000 eV per atom.

POSCAR file:
```
Tb2In3
1.0
-1.6059 6.4222 -0.7558
0.0434 -0.9513 -8.1756
-9.4268 -2.3312 0.2212
In Tb
12 8
direct
0.0000 0.8500 0.7500
0.1362 0.4778 0.1303
0.8638 0.5222 0.8697
0.1362 0.5222 0.6303
0.6362 0.0222 0.8697
0.3638 0.0222 0.6303
0.5000 0.3500 0.7500
0.0000 0.1500 0.2500
0.8638 0.4778 0.3697
0.5000 0.6500 0.2500
0.3638 0.9778 0.1303
0.6362 0.9778 0.3697
0.8750 0.1833 0.5870
0.6250 0.6833 0.5870
0.1250 0.1833 0.9130
0.3750 0.3167 0.4130
0.6250 0.3167 0.0870
0.3750 0.6833 0.9130
0.8750 0.8167 0.0870
0.1250 0.8167 0.4130
```

=====

[10]
Compound: Tb4In
Source: the Alexandria database
Functional: PBE-GGA
Structure: optimized geometry

Its space group is No. 74. Its total energy is -4.376 eV/atom. Its formation energy is -124 meV/atom. Its energy above the most stable polymorph in this dataset is 0.000 eV per atom.

POSCAR file:
```
Tb4In
1.0
-1.5801 -0.8614 -4.9273
5.7150 -3.4684 -1.2263
-5.7583 -4.7632 5.4716
Tb In
8 2
direct
0.5000 0.0000 0.0000
0.5000 0.5000 0.0000
0.6978 0.7051 0.3955
0.3022 0.2949 0.6045
0.8955 0.6455 0.7911
0.3022 0.8096 0.6045
0.6978 0.1904 0.3955
0.1045 0.3545 0.2089
0.1111 0.8611 0.2222
0.8889 0.1389 0.7778
```

=====

[11]
Compound: Tb3In4
Source: the Alexandria database
Functional: PBE-GGA
Structure: optimized geometry

Its space group is No. 166. Its total energy is -3.863 eV/atom. Its formation energy is -314 meV/atom.

POSCAR file:
```
Tb3In4
1.0
4.9970 0.0000 1.4894
2.2765 4.4483 1.4894
-0.0147 -0.0090 9.1766
Tb In
3 4
direct
0.2461 0.2461 0.2617
0.0000 0.0000 0.0000
0.7539 0.7539 0.7383
0.6202 0.6202 0.1394
0.3798 0.3798 0.8606
0.8729 0.8729 0.3812
0.1271 0.1271 0.6188
```

=====

[12]
Compound: Tb2In
Source: the Alexandria database
Functional: PBE-GGA
Structure: optimized geometry

Its space group is No. 194. Its total energy is -4.352 eV/atom. Its formation energy is -353 meV/atom.

POSCAR file:
```
Tb2In
1.0
5.4174 -0.0035 0.0000
-2.7015 4.6958 0.0000
0.0000 0.0000 6.7566
Tb In
4 2
direct
0.6665 0.8335 0.2500
0.0000 0.5000 0.5000
0.3335 0.1665 0.7500
0.0000 0.5000 0.0000
0.3330 0.1670 0.2500
0.6670 0.8330 0.7500
```

=====

[13]
Compound: Tb4In3
Source: the Alexandria database
Functional: PBE-GGA
Structure: optimized geometry

Its space group is No. 148. Its total energy is -4.225 eV/atom. Its formation energy is -405 meV/atom. Its energy above the most stable polymorph in this dataset is 0.000 eV per atom.

POSCAR file:
```
Tb4In3
1.0
0.4094 0.1213 -6.6013
-3.7115 -7.4548 1.8425
-4.7623 6.7756 2.0388
Tb In
8 6
direct
0.0000 0.0000 0.0000
0.5000 0.0000 0.0000
0.0719 0.3037 0.4497
0.6222 0.5503 0.8541
0.3778 0.4497 0.1459
0.2318 0.8541 0.3037
0.7682 0.1459 0.6963
0.9281 0.6963 0.5503
0.7456 0.8718 0.2741
0.4715 0.7259 0.5977
0.8738 0.4023 0.1282
0.5285 0.2741 0.4023
0.2544 0.1282 0.7259
0.1262 0.5977 0.8718
```

=====

[14]
Compound: Tb7In5
Source: the Alexandria database
Functional: PBE-GGA
Structure: optimized geometry

Its space group is No. 12. Its total energy is -4.153 eV/atom. Its formation energy is -311 meV/atom.

POSCAR file:
```
Tb7In5
1.0
-1.7652 -3.7015 3.0925
-1.3681 -0.9750 -6.2132
11.2079 -3.7410 1.9199
Tb In
7 5
direct
0.5000 0.0000 0.5000
0.0720 0.1440 0.7582
0.6336 0.2671 0.2764
0.3664 0.7329 0.7236
0.3472 0.6945 0.9978
0.6528 0.3055 0.0022
0.9280 0.8560 0.2418
0.8312 0.6624 0.5359
0.1688 0.3376 0.4641
0.2637 0.5274 0.2244
0.0000 0.0000 0.0000
0.7363 0.4726 0.7756
```

=====

[15]
Compound: Tb2In3
Source: the Alexandria database
Functional: PBE-GGA
Structure: optimized geometry

Its space group is No. 220. Its total energy is -3.661 eV/atom. Its formation energy is -166 meV/atom. Its energy above the most stable polymorph in this dataset is 0.231 eV per atom.

POSCAR file:
```
Tb2In3
1.0
9.1359 0.0000 0.0000
-3.0453 8.6134 0.0000
-3.0453 -4.3067 7.4595
In Tb
12 8
direct
0.5103 0.2500 0.2603
0.7397 0.4897 0.7500
0.2397 0.2500 0.9897
0.2603 0.7500 0.5103
0.2500 0.2397 0.4897
0.7603 0.0103 0.2500
0.7500 0.2603 0.0103
0.9897 0.7500 0.2397
0.2500 0.5103 0.7603
0.0103 0.7603 0.7500
0.4897 0.7397 0.2500
0.7500 0.9897 0.7397
0.5771 0.5000 0.0000
0.5000 0.0771 0.5000
0.4229 0.9229 0.9229
0.9229 0.4229 0.4229
0.0000 0.0000 0.5771
0.0000 0.0000 0.0771
0.5000 0.5771 0.5000
0.0771 0.5000 0.0000
```

=====

[16]
Compound: Tb4In
Source: the Alexandria database
Functional: PBE-GGA
Structure: optimized geometry

Its space group is No. 141. Its total energy is -4.165 eV/atom. Its formation energy is 87 meV/atom. Its energy above the most stable polymorph in this dataset is 0.211 eV per atom.

POSCAR file:
```
Tb4In
1.0
7.6539 -0.2644 0.0000
-3.3069 6.9077 0.0000
-2.1735 -3.3216 6.5494
Tb In
8 2
direct
0.6606 0.8459 0.8147
0.1541 0.9688 0.8147
0.0312 0.8459 0.1853
0.0894 0.4041 0.6853
0.1541 0.3394 0.1853
0.5959 0.2812 0.6853
0.5959 0.9106 0.3147
0.7188 0.4041 0.3147
0.2500 0.7500 0.5000
0.5000 0.5000 0.0000
```

=====

[17]
Compound: TbIn3
Source: the Alexandria database
Functional: PBE-GGA
Structure: optimized geometry

Its space group is No. 44. Its total energy is -3.486 eV/atom. Its formation energy is -274 meV/atom.

POSCAR file:
```
TbIn3
1.0
-0.9481 3.1708 -1.5939
-3.9904 0.5673 3.5022
5.7846 0.8036 2.3904
In Tb
3 1
direct
0.5000 0.4800 0.0000
0.7505 0.1019 0.5010
0.2495 0.6010 0.4990
0.0000 0.9838 0.0000
```

=====

[18]
Compound: Tb5In3
Source: the Alexandria database
Functional: PBE-GGA
Structure: optimized geometry

Its space group is No. 193. Its total energy is -4.284 eV/atom. Its formation energy is -363 meV/atom. Its energy above the most stable polymorph in this dataset is 0.000 eV per atom.

POSCAR file:
```
Tb5In3
1.0
6.5260 0.0000 0.0000
0.0000 7.9102 -4.5669
0.0000 0.0000 9.1339
Tb In
10 6
direct
0.0000 0.6667 0.3333
0.7500 0.7653 0.7653
0.2500 0.0000 0.7653
0.7500 0.0000 0.2347
0.0000 0.3333 0.6667
0.2500 0.7653 0.0000
0.5000 0.6667 0.3333
0.2500 0.2347 0.2347
0.7500 0.2347 0.0000
0.5000 0.3333 0.6667
0.2500 0.0000 0.4016
0.7500 0.5984 0.0000
0.7500 0.0000 0.5984
0.2500 0.4016 0.0000
0.7500 0.4016 0.4016
0.2500 0.5984 0.5984
```

=====

[19]
Compound: Tb4In3
Source: the Alexandria database
Functional: PBE-GGA
Structure: optimized geometry

Its space group is No. 166. Its total energy is -3.962 eV/atom. Its formation energy is -143 meV/atom. Its energy above the most stable polymorph in this dataset is 0.262 eV per atom.

POSCAR file:
```
Tb4In3
1.0
-2.1772 4.0739 2.3477
-4.1673 -0.6646 3.0067
3.5492 -0.1915 9.3418
Tb In
4 3
direct
0.1221 0.1221 0.6337
0.7055 0.7055 0.8834
0.2945 0.2945 0.1166
0.8779 0.8779 0.3663
0.4015 0.4015 0.7955
0.5985 0.5985 0.2045
0.5000 0.5000 0.5000
```

=====

[20]
Compound: Tb4In
Source: the Alexandria database
Functional: PBE-GGA
Structure: optimized geometry

Its space group is No. 221. Its total energy is -3.839 eV/atom. Its formation energy is 413 meV/atom. Its energy above the most stable polymorph in this dataset is 0.537 eV per atom.

POSCAR file:
```
Tb4In
1.0
-2.4537 0.1576 5.1889
-5.1577 -0.7258 -2.4169
0.5895 -5.6937 0.4517
In Tb
1 4
direct
0.5000 0.5000 0.5000
0.5000 0.0000 0.5000
0.0000 0.5000 0.5000
0.0000 0.0000 0.0000
0.5000 0.5000 0.0000
```

=====

Number 1: volume 290 Å³/f.u.. Number 2: volume 100 Å³/f.u.. Number 3: volume 464 Å³/f.u.. Number 4: volume 225 Å³/f.u.. Number 5: volume 307 Å³/f.u.. Number 6: volume 252 Å³/f.u.. Number 7: volume 245 Å³/f.u.. Number 8: volume 180 Å³/f.u.. Number 9: volume 133 Å³/f.u.. Number 10: volume 146 Å³/f.u.. Number 11: volume 204 Å³/f.u.. Number 12: volume 86 Å³/f.u.. Number 13: volume 194 Å³/f.u.. Number 14: volume 342 Å³/f.u.. Number 15: volume 147 Å³/f.u.. Number 16: volume 170 Å³/f.u.. Number 17: volume 106 Å³/f.u.. Number 18: volume 236 Å³/f.u.. Number 19: volume 222 Å³/f.u.. Number 20: volume 189 Å³/f.u..